1.
First-principles (PBE) data for an optimized crystal structure of Ge6Ir5, as listed in Alexandria.

abc: 6.185 6.185 6.813
angles: 96.29 96.29 129.85
Sites, in units of the cell vectors:
Ge 0.007 0.400 0.703
Ge 0.204 0.204 0.193
Ge 0.400 0.007 0.703
Ge 0.600 0.993 0.297
Ge 0.796 0.796 0.807
Ge 0.993 0.600 0.297
Ir 0.000 0.000 0.500
Ir 0.181 0.819 0.000
Ir 0.383 0.617 0.500
Ir 0.617 0.383 0.500
Ir 0.819 0.181 0.000

Values from the calculation:
Energy of formation, meV per atom: -99


2.
First-principles (PBE) data for an optimized crystal structure of K3GeIr, as listed in Alexandria.

abc: 6.065 6.065 6.065
angles: 90.00 90.00 90.00
Sites, in units of the cell vectors:
K 0.000 0.000 0.500
K 0.000 0.500 0.000
K 0.500 0.000 0.000
Ge 0.500 0.500 0.500
Ir 0.000 0.000 0.000

Values from the calculation:
Energy of formation, meV per atom: 1070


3.
First-principles (PBE) data for an optimized crystal structure of KGe2Ir2, as listed in Alexandria.

abc: 4.141 4.141 5.717
angles: 90.00 90.00 90.00
Sites, in units of the cell vectors:
K 0.000 0.000 0.000
Ge 0.500 0.500 0.247
Ge 0.500 0.500 0.753
Ir 0.000 0.500 0.500
Ir 0.500 0.000 0.500

Values from the calculation:
Energy of formation, meV per atom: -61


4.
First-principles (PBE) data for an optimized crystal structure of KGe2Ir, as listed in Alexandria.

abc: 8.163 8.163 8.163
angles: 135.56 135.56 64.67
Sites, in units of the cell vectors:
K 0.375 0.625 0.750
K 0.625 0.375 0.250
Ge 0.000 0.000 0.000
Ge 0.000 0.000 0.500
Ge 0.000 0.500 0.000
Ge 0.500 0.000 0.500
Ir 0.125 0.875 0.250
Ir 0.875 0.125 0.750

Values from the calculation:
Energy of formation, meV per atom: -117


5.
First-principles (PBE) data for an optimized crystal structure of KGe2Ir, as listed in Alexandria.

abc: 6.819 6.819 6.819
angles: 35.62 35.62 35.62
Sites, in units of the cell vectors:
K 0.000 0.000 0.000
Ge 0.209 0.209 0.209
Ge 0.791 0.791 0.791
Ir 0.500 0.500 0.500

Values from the calculation:
Energy of formation, meV per atom: -171


6.
First-principles (PBE) data for an optimized crystal structure of KGe3Ir3, as listed in Alexandria.

abc: 9.159 9.159 9.159
angles: 43.58 43.58 43.58
Sites, in units of the cell vectors:
K 0.168 0.168 0.168
K 0.832 0.832 0.832
Ge 0.143 0.716 0.314
Ge 0.284 0.686 0.857
Ge 0.314 0.143 0.716
Ge 0.686 0.857 0.284
Ge 0.716 0.314 0.143
Ge 0.857 0.284 0.686
Ir 0.061 0.530 0.284
Ir 0.284 0.061 0.530
Ir 0.470 0.716 0.939
Ir 0.530 0.284 0.061
Ir 0.716 0.939 0.470
Ir 0.939 0.470 0.716

Values from the calculation:
Energy of formation, meV per atom: -113


7.
First-principles (PBE) data for an optimized crystal structure of KGe2Ir, as listed in Alexandria.

abc: 4.677 4.677 4.677
angles: 60.00 60.00 60.00
Sites, in units of the cell vectors:
K 0.000 0.000 0.000
Ge 0.250 0.250 0.250
Ge 0.750 0.750 0.750
Ir 0.500 0.500 0.500

Values from the calculation:
Energy of formation, meV per atom: 317


8.
First-principles (PBE) data for an optimized crystal structure of KGe2Ir2, as listed in Alexandria.

abc: 7.836 7.836 2.846
angles: 90.00 90.00 90.00
Sites, in units of the cell vectors:
K 0.000 0.000 0.000
K 0.500 0.500 0.000
Ge 0.151 0.349 0.500
Ge 0.349 0.849 0.500
Ge 0.651 0.151 0.500
Ge 0.849 0.651 0.500
Ir 0.135 0.635 0.000
Ir 0.365 0.135 0.000
Ir 0.635 0.865 0.000
Ir 0.865 0.365 0.000

Values from the calculation:
Energy of formation, meV per atom: 12


9.
First-principles (PBE) data for an optimized crystal structure of KGe2Ir2, as listed in Alexandria.

abc: 6.495 6.495 6.495
angles: 142.20 142.20 54.53
Sites, in units of the cell vectors:
K 0.000 0.000 0.000
Ge 0.362 0.362 0.000
Ge 0.638 0.638 0.000
Ir 0.250 0.750 0.500
Ir 0.750 0.250 0.500

Values from the calculation:
Energy of formation, meV per atom: -303


10.
First-principles (PBE) data for an optimized crystal structure of KGeIr2, as listed in Alexandria.

abc: 9.154 9.154 9.154
angles: 149.08 149.08 44.30
Sites, in units of the cell vectors:
K 0.000 0.000 0.000
K 0.750 0.250 0.500
Ge 0.250 0.750 0.500
Ge 0.500 0.500 0.000
Ir 0.308 0.625 0.183
Ir 0.375 0.558 0.683
Ir 0.442 0.125 0.817
Ir 0.875 0.692 0.317

Values from the calculation:
Energy of formation, meV per atom: 449


11.
First-principles (PBE) data for an optimized crystal structure of KLi2GeIr, as listed in Alexandria.

abc: 5.006 5.006 4.703
angles: 90.00 90.00 90.00
Sites, in units of the cell vectors:
K 0.000 0.000 0.000
Li 0.000 0.500 0.500
Li 0.500 0.000 0.500
Ge 0.500 0.500 0.000
Ir 0.500 0.500 0.500

Values from the calculation:
Energy of formation, meV per atom: -152


12.
First-principles (PBE) data for an optimized crystal structure of KNa2GeIr, as listed in Alexandria.

abc: 5.589 5.589 4.708
angles: 90.00 90.00 90.00
Sites, in units of the cell vectors:
K 0.000 0.000 0.000
Na 0.000 0.500 0.500
Na 0.500 0.000 0.500
Ge 0.500 0.500 0.000
Ir 0.500 0.500 0.500

Values from the calculation:
Energy of formation, meV per atom: 19


13.
First-principles (PBE) data for an optimized crystal structure of KNb2GeIr, as listed in Alexandria.

abc: 4.948 4.948 4.701
angles: 90.00 90.00 90.00
Sites, in units of the cell vectors:
K 0.000 0.000 0.000
Nb 0.000 0.500 0.500
Nb 0.500 0.000 0.500
Ge 0.500 0.500 0.500
Ir 0.500 0.500 0.000

Values from the calculation:
Energy of formation, meV per atom: 1120


14.
First-principles (PBE) data for an optimized crystal structure of K2GeIrO6, as listed in Alexandria.

abc: 5.505 5.505 5.505
angles: 119.97 119.97 90.06
Sites, in units of the cell vectors:
K 0.250 0.750 0.500
K 0.750 0.250 0.500
Ge 0.000 0.000 0.000
Ir 0.500 0.500 0.000
O 0.246 0.246 0.000
O 0.247 0.247 0.494
O 0.247 0.753 0.000
O 0.753 0.247 0.000
O 0.753 0.753 0.506
O 0.754 0.754 0.000

Values from the calculation:
Raw formation energy, eV per atom: -1.102


15.
First-principles (PBE) data for an optimized crystal structure of KGeIrPb, as listed in Alexandria.

abc: 4.297 4.297 12.774
angles: 90.00 90.00 90.00
Sites, in units of the cell vectors:
K 0.250 0.250 0.230
K 0.750 0.750 0.770
Ge 0.250 0.250 0.903
Ge 0.750 0.750 0.097
Ir 0.250 0.750 0.000
Ir 0.750 0.250 0.000
Pb 0.250 0.750 0.500
Pb 0.750 0.250 0.500

Values from the calculation:
Energy of formation, meV per atom: -147


16.
First-principles (PBE) data for an optimized crystal structure of KGe2IrPd, as listed in Alexandria.

abc: 7.354 7.354 7.354
angles: 147.73 147.73 46.28
Sites, in units of the cell vectors:
K 0.000 0.000 0.000
Ge 0.355 0.355 0.000
Ge 0.645 0.645 0.000
Ir 0.750 0.250 0.500
Pd 0.250 0.750 0.500

Values from the calculation:
Energy of formation, meV per atom: -366


17.
First-principles (PBE) data for an optimized crystal structure of K2SiGeIr, as listed in Alexandria.

abc: 6.288 6.288 4.478
angles: 90.00 90.00 90.00
Sites, in units of the cell vectors:
K 0.000 0.500 0.000
K 0.500 0.000 0.000
Si 0.000 0.000 0.500
Ge 0.500 0.500 0.500
Ir 0.000 0.000 0.000

Values from the calculation:
Raw formation energy, eV per atom: 0.595


18.
First-principles (PBE) data for an optimized crystal structure of KSnGeIr, as listed in Alexandria.

abc: 4.168 4.168 13.018
angles: 90.00 90.00 90.00
Sites, in units of the cell vectors:
K 0.250 0.250 0.239
K 0.750 0.750 0.761
Sn 0.250 0.750 0.500
Sn 0.750 0.250 0.500
Ge 0.250 0.250 0.896
Ge 0.750 0.750 0.104
Ir 0.250 0.750 0.000
Ir 0.750 0.250 0.000

Values from the calculation:
Energy of formation, meV per atom: -190


19.
First-principles (PBE) data for an optimized crystal structure of KTi2GeIr, as listed in Alexandria.

abc: 4.924 4.924 4.697
angles: 90.00 90.00 90.00
Sites, in units of the cell vectors:
K 0.000 0.000 0.000
Ti 0.000 0.500 0.500
Ti 0.500 0.000 0.500
Ge 0.500 0.500 0.500
Ir 0.500 0.500 0.000

Values from the calculation:
Energy of formation, meV per atom: 699


20.
First-principles (PBE) data for an optimized crystal structure of KTlGeIr, as listed in Alexandria.

abc: 4.277 4.277 12.733
angles: 90.00 90.00 90.00
Sites, in units of the cell vectors:
K 0.250 0.250 0.230
K 0.750 0.750 0.770
Tl 0.250 0.750 0.500
Tl 0.750 0.250 0.500
Ge 0.250 0.250 0.901
Ge 0.750 0.750 0.099
Ir 0.250 0.750 0.000
Ir 0.750 0.250 0.000

Values from the calculation:
Energy of formation, meV per atom: -173


21.
First-principles (PBE) data for an optimized crystal structure of KVGeIr2, as listed in Alexandria.

abc: 4.662 4.662 4.876
angles: 90.00 90.00 90.00
Sites, in units of the cell vectors:
K 0.000 0.000 0.000
V 0.500 0.500 0.500
Ge 0.500 0.500 0.000
Ir 0.000 0.500 0.500
Ir 0.500 0.000 0.500

Values from the calculation:
Energy of formation, meV per atom: 721


22.
First-principles (PBE) data for an optimized crystal structure of KZn2GeIr, as listed in Alexandria.

abc: 4.995 4.995 4.691
angles: 90.00 90.00 90.00
Sites, in units of the cell vectors:
K 0.000 0.000 0.000
Zn 0.000 0.500 0.500
Zn 0.500 0.000 0.500
Ge 0.500 0.500 0.000
Ir 0.500 0.500 0.500

Values from the calculation:
Energy of formation, meV per atom: -209


23.
First-principles (PBE) data for an optimized crystal structure of La3Ge2Ir, as listed in Alexandria.

abc: 12.352 4.440 11.754
angles: 90.00 90.00 90.00
Sites, in units of the cell vectors:
La 0.056 0.250 0.127
La 0.118 0.750 0.553
La 0.225 0.250 0.801
La 0.275 0.750 0.301
La 0.382 0.250 0.053
La 0.444 0.750 0.627
La 0.556 0.250 0.373
La 0.618 0.750 0.947
La 0.725 0.250 0.699
La 0.775 0.750 0.199
La 0.882 0.250 0.447
La 0.944 0.750 0.873
Ge 0.017 0.750 0.310
Ge 0.196 0.750 0.998
Ge 0.304 0.250 0.498
Ge 0.483 0.250 0.810
Ge 0.517 0.750 0.190
Ge 0.696 0.750 0.502
Ge 0.804 0.250 0.002
Ge 0.983 0.250 0.690
Ir 0.128 0.250 0.366
Ir 0.372 0.750 0.866
Ir 0.628 0.250 0.134
Ir 0.872 0.750 0.634

Values from the calculation:
Energy of formation, meV per atom: -855


24.
First-principles (PBE) data for an optimized crystal structure of La4Ge3Ir, as listed in Alexandria.

abc: 4.265 4.470 11.079
angles: 90.00 90.00 90.00
Sites, in units of the cell vectors:
La 0.000 0.000 0.000
La 0.000 0.500 0.476
La 0.500 0.000 0.704
La 0.500 0.500 0.212
Ge 0.000 0.500 0.769
Ge 0.500 0.000 0.414
Ge 0.500 0.500 0.922
Ir 0.000 0.000 0.272

Values from the calculation:
Energy of formation, meV per atom: -793


25.
First-principles (PBE) data for an optimized crystal structure of La3Ge4Ir2, as listed in Alexandria.

abc: 6.183 6.183 8.513
angles: 108.13 108.13 41.37
Sites, in units of the cell vectors:
La 0.000 0.000 0.000
La 0.385 0.385 0.308
La 0.615 0.615 0.692
Ge 0.104 0.104 0.394
Ge 0.289 0.289 0.923
Ge 0.711 0.711 0.077
Ge 0.896 0.896 0.606
Ir 0.303 0.303 0.636
Ir 0.697 0.697 0.364

Values from the calculation:
Energy of formation, meV per atom: -832